[1]
Here is a relaxed LiZr2Ir crystal from Alexandria. Energies are from PBE.

The density comes out at 8.1 g/cm³. For the energy above the most stable polymorph in this dataset, the calculation gives 436 meV per atom. As for the total energy: -84.0 eV/cell. The calculation puts the formation energy at -0.031 eV per atom. Its crystal system is trigonal.

The structure belongs to space group R3m (No. 160, hexagonal axes); the cell edges are 3.1107, 3.1107 and 27.9684 Å and the angles 90.00°, 90.00° and 120.00°. The distinct sites, in fractional coordinates, are Li at (0.0000, 0.0000, 0.0000), Zr at (0.0000, 0.0000, 0.2371), Zr at (0.0000, 0.0000, 0.4778) and Ir at (0.0000, 0.0000, 0.7378).


[2]
Here is a relaxed Li3Ca4 crystal from Alexandria. Energies are from PBE.

The density comes out at 1.3 g/cm³. For the energy above the most stable polymorph in this dataset, the calculation gives 23 meV per atom. As for the total energy: -26.6 eV/cell. The calculation puts the formation energy at 0.063 eV per atom. Its crystal system is monoclinic.

The structure belongs to space group C2/m (No. 12); the cell edges are 13.015, 5.578 and 7.320 Å and the angles 90.00°, 118.96° and 90.00°. The distinct sites, in fractional coordinates, are Li at (0.000, 0.000, 0.000), Li at (0.213, 0.000, 0.333), Ca at (0.026, 0.500, 0.272) and Ca at (0.187, 0.000, 0.781).


[3]
Here is a relaxed CaNdTlPb crystal from Alexandria. Energies are from PBE.

The density comes out at 8.2 g/cm³. For the energy above the most stable polymorph in this dataset, the calculation gives 31 meV per atom. As for the total energy: -58.4 eV/cell. The calculation puts the formation energy at -0.437 eV per atom. Its crystal system is cubic.

The structure belongs to space group F-43m (No. 216); the cell edges are 7.847, 7.847 and 7.847 Å and the angles 90.00°, 90.00° and 90.00°. The distinct sites, in fractional coordinates, are Ca at (0.000, 0.000, 0.000), Nd at (0.000, 0.000, 0.500), Tl at (0.250, 0.250, 0.250) and Pb at (0.250, 0.250, 0.750).


[4]
Here is a relaxed KSc2Cd crystal from Alexandria. Energies are from PBE.

The density comes out at 3.3 g/cm³. As for the total energy: -13.4 eV/cell. The calculation puts the formation energy at 0.320 eV per atom. Its crystal system is monoclinic.

The structure belongs to space group P2/m (No. 10); the cell edges are 3.263, 5.158 and 7.348 Å and the angles 90.00°, 102.81° and 90.00°. The distinct sites, in fractional coordinates, are K at (0.000, 0.000, 0.000), Sc at (0.382, 0.500, 0.679) and Cd at (0.000, 0.000, 0.500).


[5]
Here is a relaxed K2BaBe crystal from Alexandria. Energies are from PBE.

The density comes out at 1.7 g/cm³. As for the total energy: -15.1 eV/cell. The calculation puts the formation energy at 0.701 eV per atom. Its crystal system is trigonal.

The structure belongs to space group R-3m (No. 166, hexagonal axes); the cell edges are 4.5482, 4.5482 and 36.1768 Å and the angles 90.00°, 90.00° and 120.00°. The distinct sites, in fractional coordinates, are K at (0.0000, 0.0000, 0.2252), Ba at (0.0000, 0.0000, 0.0000) and Be at (0.0000, 0.0000, 0.5000).


[6]
Here is a relaxed YSc2Ag crystal from Alexandria. Energies are from PBE.

The density comes out at 5.0 g/cm³. For the energy above the most stable polymorph in this dataset, the calculation gives 141 meV per atom. As for the total energy: -43.7 eV/cell. The calculation puts the formation energy at 0.026 eV per atom. Its crystal system is tetragonal.

The structure belongs to space group I-4m2 (No. 119); the cell edges are 4.448, 4.448 and 9.674 Å and the angles 90.00°, 90.00° and 90.00°. The distinct sites, in fractional coordinates, are Y at (0.000, 0.000, 0.000), Sc at (0.000, 0.000, 0.500), Sc at (0.000, 0.500, 0.250) and Ag at (0.000, 0.500, 0.750).


[7]
Here is a relaxed NaHf2HgN crystal from Alexandria. Energies are from PBE.

The density comes out at 9.3 g/cm³. As for the total energy: -30.3 eV/cell. Its crystal system is tetragonal.

The structure belongs to space group P4/mmm (No. 123); the cell edges are 4.292, 4.292 and 5.747 Å and the angles 90.00°, 90.00° and 90.00°. The distinct sites, in fractional coordinates, are Na at (0.000, 0.000, 0.000), Hf at (0.000, 0.500, 0.500), Hg at (0.500, 0.500, 0.000) and N at (0.500, 0.500, 0.500).


[8]
Here is a relaxed Nd8Zn2Pt crystal from Alexandria. Energies are from PBE.

The density comes out at 7.6 g/cm³. For the energy above the most stable polymorph in this dataset, the calculation gives 0 meV per atom. As for the total energy: -99.8 eV/cell. The calculation puts the formation energy at -0.286 eV per atom. Its crystal system is monoclinic.

The structure belongs to space group C2/m (No. 12); the cell edges are 18.347, 5.230 and 6.869 Å and the angles 90.00°, 100.79° and 90.00°. The distinct sites, in fractional coordinates, are Nd at (0.027, 0.000, 0.275), Nd at (0.090, 0.500, 0.941), Nd at (0.158, 0.500, 0.461), Nd at (0.202, 0.000, 0.821), Zn at (0.194, 0.000, 0.248) and Pt at (0.000, 0.500, 0.500).